Below is a relaxed structure of ZnAu, with properties calculated at the PBE level.

a = 2.8968 Å, b = 20.2121 Å, c = 4.4765 Å
α = 90.00°, β = 90.00°, γ = 90.00°
With the nearest neighbours (Å) after each atom.
Fractional coordinates of all 16 atoms:
Zn: 0.0000 0.0791 0.2500  8 Au 2.74-2.94, 4 Zn 2.83-2.90
Zn: 0.0000 0.1644 0.7500  7 Au 2.71-2.78, 4 Zn 2.83-2.90
Zn: 0.0000 0.8356 0.2500  7 Au 2.71-2.78, 4 Zn 2.83-2.90
Zn: 0.0000 0.9209 0.7500  8 Au 2.74-2.94, 4 Zn 2.83-2.90
Zn: 0.5000 0.3356 0.2500  7 Au 2.71-2.78, 4 Zn 2.83-2.90
Zn: 0.5000 0.4209 0.7500  8 Au 2.74-2.94, 4 Zn 2.83-2.90
Zn: 0.5000 0.5791 0.2500  8 Au 2.74-2.94, 4 Zn 2.83-2.90
Zn: 0.5000 0.6644 0.7500  7 Au 2.71-2.78, 4 Zn 2.83-2.90
Au: 0.0000 0.2985 0.7500  7 Zn 2.71-2.87, 2 Au 2.90
Au: 0.0000 0.4527 0.2500  8 Zn 2.74-2.94, 4 Au 2.90-2.94
Au: 0.0000 0.5473 0.7500  8 Zn 2.74-2.94, 4 Au 2.90-2.94
Au: 0.0000 0.7015 0.2500  7 Zn 2.71-2.87, 2 Au 2.90
Au: 0.5000 0.0473 0.7500  8 Zn 2.74-2.94, 4 Au 2.90-2.94
Au: 0.5000 0.2015 0.2500  7 Zn 2.71-2.87, 2 Au 2.90
Au: 0.5000 0.7985 0.7500  7 Zn 2.71-2.87, 2 Au 2.90
Au: 0.5000 0.9527 0.2500  8 Zn 2.74-2.94, 4 Au 2.90-2.94

The calculation puts the formation energy from the elements at -0.186 eV per atom.

=====

Below is a relaxed structure of Zn2Au3, with properties calculated at the PBE level.

a = 2.9426 Å, b = 2.9426 Å, c = 33.6266 Å
α = 90.00°, β = 90.00°, γ = 120.00°
With the nearest neighbours (Å) after each atom.
Fractional coordinates of all 15 atoms:
Zn: 0.0000 0.0000 0.1014  6 Au 2.74-2.77, 6 Zn 2.94
Zn: 0.0000 0.0000 0.8986  6 Au 2.74-2.77, 6 Zn 2.94
Zn: 0.3333 0.6667 0.5652  6 Au 2.74-2.77, 6 Zn 2.94
Zn: 0.3333 0.6667 0.7681  6 Au 2.74-2.77, 6 Zn 2.94
Zn: 0.6667 0.3333 0.2319  6 Au 2.74-2.77, 6 Zn 2.94
Zn: 0.6667 0.3333 0.4348  6 Au 2.74-2.77, 6 Zn 2.94
Au: 0.0000 0.0000 0.2960  3 Zn 2.74, 9 Au 2.94-3.03
Au: 0.0000 0.0000 0.5000  6 Zn 2.77, 6 Au 2.94
Au: 0.0000 0.0000 0.7040  3 Zn 2.74, 9 Au 2.94-3.03
Au: 0.3333 0.6667 0.1667  6 Zn 2.77, 6 Au 2.94
Au: 0.3333 0.6667 0.3706  3 Zn 2.74, 9 Au 2.94-3.03
Au: 0.3333 0.6667 0.9627  3 Zn 2.74, 9 Au 2.94-3.03
Au: 0.6667 0.3333 0.0373  3 Zn 2.74, 9 Au 2.94-3.03
Au: 0.6667 0.3333 0.6294  3 Zn 2.74, 9 Au 2.94-3.03
Au: 0.6667 0.3333 0.8333  6 Zn 2.77, 6 Au 2.94

As for the energy above the most stable polymorph in this dataset: 1.84 kcal/mol of atoms. The calculation puts the formation energy from the elements at -0.111 eV per atom.

=====

Below is a relaxed structure of ZnAu, with properties calculated at the PBE level.

a = 4.5308 Å, b = 4.5308 Å, c = 5.1343 Å
α = 90.00°, β = 90.00°, γ = 120.00°
With the nearest neighbours (Å) after each atom.
Fractional coordinates of all 4 atoms:
Zn: 0.3333 0.6667 0.2500  5 Au 2.57-2.62
Zn: 0.6667 0.3333 0.7500  5 Au 2.57-2.62
Au: 0.3333 0.6667 0.7500  5 Zn 2.57-2.62
Au: 0.6667 0.3333 0.2500  5 Zn 2.57-2.62

The calculation puts the formation energy from the elements at 0.027 eV per atom.

=====

| no. | M_tot (μB per atom) | total energy (eV per atom) |
| --- | --- | --- |
| 1 | 0.00 | -2.46 |
| 2 | 0.00 | -2.59 |
| 3 | 0.00 | -2.25 |